A geometry-optimized Mn3FeBr2F6 structure. Source: Alexandria, functional PBE+U.

a = 5.4491 Å, b = 6.6025 Å, c = 6.7255 Å
α = 119.40°, β = 79.77°, γ = 90.00°
Last column: nearest neighbours and their distance in Å.
Atoms (fractional coordinates):
Mn1 0.0000 0.5000 0.0000  4 F 2.26
Mn2 0.5000 0.5000 0.5000  4 F 2.13-2.20
Mn3 0.5000 0.0000 0.5000  4 F 2.13-2.20
Fe1 0.5000 0.0000 0.0000  2 F 2.00
Br1 0.1674 0.6960 0.3920  3 Mn 2.62-2.64
Br2 0.8326 0.3040 0.6080  3 Mn 2.62-2.64
F1 0.7153 0.3290 0.1401  2 Mn 2.20-2.26, 1 Fe 2.32
F2 0.2847 0.6710 0.8599  2 Mn 2.20-2.26, 1 Fe 2.32
F3 0.6476 0.8294 0.6588  1 Fe 2.00, 2 Mn 2.13
F4 0.3524 0.1706 0.3412  1 Fe 2.00, 2 Mn 2.13
F5 0.2847 0.1889 0.8599  2 Mn 2.20-2.26, 1 Fe 2.32
F6 0.7153 0.8111 0.1401  2 Mn 2.20-2.26, 1 Fe 2.32

Calculated values
Total magnetization = 19.0 μB per formula unit
Symmetry = No. 12
Calculated total energy = -5.652 eV/atom